Entry from Alexandria via LeMat-Bulk: a relaxed CaLu2Cu crystal (PBE-GGA).

It has space group R-3m (No. 166, hexagonal axes), with a = 3.6824 Å, b = 3.6824 Å, c = 29.5400 Å, α = 90.00°, β = 90.00° and γ = 120.00°. The distinct sites, in fractional coordinates, are Ca at (0.0000, 0.0000, 0.0000), Lu at (0.0000, 0.0000, 0.2277) and Cu at (0.0000, 0.0000, 0.5000).

The value obtained for the distance to the lowest polymorph of the same formula is 12.9 kJ/mol of atoms. Its formation energy from the elements is 0.0632 eV per atom. For the electronic total energy, the calculation gives -3.72 eV per atom. For the total moment, the calculation gives 0.00 μB per formula unit. The density of states at the Fermi level comes out at 14.55 states/eV per cell.

***

Entry from Alexandria via LeMat-Bulk: a relaxed Li2Mg4CdAg2 crystal (PBE-GGA).

It has space group P-1 (No. 2), with a = 5.1553 Å, b = 5.1933 Å, c = 7.6490 Å, α = 73.37°, β = 81.00° and γ = 62.13°. The distinct sites, in fractional coordinates, are Li at (0.1440, 0.4230, 0.3361), Mg at (0.1738, 0.1636, 0.0005), Mg at (0.2145, 0.9161, 0.6520), Cd at (0.5000, 0.5000, 0.0000) and Ag at (0.4721, 0.7409, 0.3286).

Its formation energy from the elements is -0.1621 eV per atom. For the electronic total energy, the calculation gives -2.03 eV per atom. For the total moment, the calculation gives 0.00 μB per formula unit. The density of states at the Fermi level comes out at 2.05 states/eV per cell.

***

Entry from Alexandria via LeMat-Bulk: a relaxed Sm2HoPb2 crystal (PBE-GGA).

It has space group Ibam (No. 72), with a = 8.4609 Å, b = 12.2472 Å, c = 6.5306 Å, α = 90.00°, β = 90.00° and γ = 90.00°. The distinct sites, in fractional coordinates, are Sm at (0.1463, 0.1456, 0.0000), Ho at (0.0000, 0.5000, 0.2500) and Pb at (0.2274, 0.1143, 0.5000).

Its formation energy from the elements is -0.3193 eV per atom. For the electronic total energy, the calculation gives -4.61 eV per atom. For the total moment, the calculation gives 1.09 μB per formula unit. The density of states at the Fermi level comes out at 15.05 states/eV per cell.

***

Among the records above, which one has the lowest electronic total energy?
Sm2HoPb2

***

Which of these has the lowest electronic total energy?
Sm2HoPb2